# 1
Below is a geometry-optimized NiAs2WSe structure, with properties calculated at the PBE level.

The value obtained for the formation energy without anion corrections is 1.048 eV per atom. The total magnetic moment comes out at 0.0 μB per cell.

Unit cell a=4.4663 b=4.4663 c=4.6356 alpha=90.00 beta=90.00 gamma=90.00
Closest atoms and distances in Å follow each position.
Space group P4/mmm (No. 123)
One atom of each set of equivalent atoms:
Ni  0.0000  0.0000  0.0000 x1  4 As 2.23, 2 Se 2.32
As  0.0000  0.5000  0.0000 x2  2 Ni 2.23
W  0.5000  0.5000  0.5000 x1  4 Se 3.16, 8 As 3.22
Se  0.0000  0.0000  0.5000 x1  2 Ni 2.32

# 2
Below is a geometry-optimized Tm12ScBi6 structure, with properties calculated at the PBE level.

The formation energy is -0.38 eV per atom. The total magnetic moment comes out at 0.0 μB per cell.

Unit cell a=14.9319 b=14.9319 c=8.5038 alpha=90.00 beta=90.00 gamma=120.00
Closest atoms and distances in Å follow each position.
Space group R-3 (No. 148, hexagonal axes)
One atom of each set of equivalent atoms:
Tm  0.0068  0.8729  0.1743 x18  3 Bi 3.16-3.33, 4 Tm 3.38-3.39, 1 Sc 3.39
Tm  0.0623  0.4859  0.1637 x18  4 Bi 3.27-3.47, 6 Tm 3.38-3.63, 1 Sc 3.57
Sc  0.0000  0.0000  0.5000 x3  12 Tm 3.39-3.57
Bi  0.0237  0.7629  0.8433 x18  7 Tm 3.16-3.47

Number 1: V 92.5 Å³ per cell. Number 2: V 1642.0 Å³ per cell.